# 1
# ThPd4Rh

A relaxed ThPd4Rh crystal (PBE-GGA, Alexandria via LeMat-Bulk).

a = 5.0184 Å, b = 5.0309 Å, c = 9.9369 Å
α = 89.82°, β = 75.60°, γ = 60.41°
With the nearest neighbours (Å) after each atom.
Space group P-1 (No. 2)
Asymmetric unit:
Th 0.1725 0.0813 0.2502 (multiplicity 2)  3 Rh 2.88-2.94, 9 Pd 2.89-2.96
Pd 0.0000 0.0000 0.0000 (multiplicity 1)  8 Pd 2.85-2.94, 2 Th 2.92, 2 Rh 2.93
Pd 0.0000 0.5000 0.5000 (multiplicity 1)  8 Pd 2.84-2.96, 2 Th 2.92, 2 Rh 2.92
Pd 0.1646 0.2486 0.7497 (multiplicity 2)  3 Th 2.89-2.93, 6 Pd 2.89-2.92, 3 Rh 2.90-2.92
Pd 0.3256 0.3494 0.0007 (multiplicity 2)  8 Pd 2.82-3.06, 2 Rh 2.87-2.89, 2 Th 2.93-2.96
Pd 0.3490 0.8237 0.5009 (multiplicity 2)  8 Pd 2.83-3.05, 2 Rh 2.87-2.93, 2 Th 2.94-2.96
Rh 0.4998 0.4178 0.2493 (multiplicity 2)  9 Pd 2.87-2.93, 3 Th 2.88-2.94

Summary:
**Fermi-level density of states**: 8.88 states/eV/cell
**DFT formation energy**: -0.541 eV per atom
**Total DFT energy (no corrections)**: -6.465 eV/atom

# 2
# ThPdRh

A relaxed ThPdRh crystal (PBE-GGA, Alexandria via LeMat-Bulk).

a = 4.0546 Å, b = 4.0546 Å, c = 4.5714 Å
α = 90.00°, β = 90.00°, γ = 120.00°
With the nearest neighbours (Å) after each atom.
Space group P3m1 (No. 156)
Asymmetric unit:
Th 0.0000 0.0000 0.0000 (multiplicity 1)  3 Rh 2.79, 3 Pd 2.93
Pd 0.6667 0.3333 0.6139 (multiplicity 1)  3 Rh 2.68, 3 Th 2.93
Rh 0.3333 0.6667 0.3304 (multiplicity 1)  3 Pd 2.68, 3 Th 2.79

Summary:
**Fermi-level density of states**: 1.96 states/eV/cell
**DFT formation energy**: -0.621 eV per atom
**Total DFT energy (no corrections)**: -7.276 eV/atom

# 3
# Th2Pd2Rh

A relaxed Th2Pd2Rh crystal (PBE-GGA, Alexandria via LeMat-Bulk).

a = 9.1786 Å, b = 6.6045 Å, c = 7.6857 Å
α = 90.00°, β = 111.43°, γ = 90.00°
With the nearest neighbours (Å) after each atom.
Space group C2/c (No. 15)
Asymmetric unit:
Th 0.1718 0.1035 0.1616 (multiplicity 8)  4 Pd 2.94-3.07, 3 Rh 2.95-3.10
Pd 0.1035 0.3702 0.4506 (multiplicity 8)  3 Pd 2.86-2.97, 2 Rh 2.93-3.00, 4 Th 2.94-3.07
Rh 0.0000 0.2350 0.7500 (multiplicity 4)  4 Pd 2.93-3.00, 6 Th 2.95-3.10

Summary:
**Fermi-level density of states**: 14.11 states/eV/cell
**DFT formation energy**: -0.811 eV per atom
**Total DFT energy (no corrections)**: -7.327 eV/atom

# 4
# Th6Pd2Rh

A relaxed Th6Pd2Rh crystal (PBE-GGA, Alexandria via LeMat-Bulk).

a = 6.4099 Å, b = 7.6033 Å, c = 11.9634 Å
α = 90.00°, β = 120.33°, γ = 90.00°
With the nearest neighbours (Å) after each atom.
Space group P2_1/c (No. 14)
Asymmetric unit:
Th 0.0763 0.1978 0.4319 (multiplicity 4)  1 Rh 2.84, 2 Pd 2.99-3.00
Th 0.2888 0.6589 0.4425 (multiplicity 4)  1 Rh 2.84, 2 Pd 3.02-3.08
Th 0.3990 0.0387 0.2419 (multiplicity 4)  1 Rh 2.83, 2 Pd 3.00
Pd 0.1500 0.1217 0.7313 (multiplicity 4)  6 Th 2.99-3.08
Rh 0.5000 0.0000 0.5000 (multiplicity 2)  6 Th 2.83-2.84

Summary:
**Fermi-level density of states**: 21.75 states/eV/cell
**DFT formation energy**: -0.456 eV per atom
**Total DFT energy (no corrections)**: -7.374 eV/atom